(1)
First-principles (PBE) data for Zr5Te after structural relaxation, as listed in Alexandria.

Geometry as CIF:
```
data_Zr5Te
_chemical_formula_sum 'Zr10 Te2'
_cell_length_a 4.952
_cell_length_b 3.815
_cell_length_c 14.439
_cell_angle_alpha 90.00
_cell_angle_beta 90.00
_cell_angle_gamma 90.00
_symmetry_space_group_name_H-M 'A m m 2'
_symmetry_Int_Tables_number 38
_symmetry_space_group_name_Hall 'A 2 -2'
loop_
_atom_site_label
_atom_site_type_symbol
_atom_site_fract_x
_atom_site_fract_y
_atom_site_fract_z
Zr1 Zr 0.000 0.000 0.000
Zr2 Zr 0.000 0.000 0.332
Zr3 Zr 0.000 0.000 0.664
Zr4 Zr 0.500 0.000 0.164
Zr5 Zr 0.500 0.000 0.498
Te1 Te 0.500 0.000 0.831
```

Summary:
Energy relative to the elements, uncorrected   -211 meV/atom

***

(2)
First-principles (PBE) data for BeIn2Cu after structural relaxation, as listed in Alexandria.

Geometry as CIF:
```
data_BeIn2Cu
_chemical_formula_sum 'Be2 In4 Cu2'
_cell_length_a 4.062
_cell_length_b 4.062
_cell_length_c 8.559
_cell_angle_alpha 90.00
_cell_angle_beta 90.00
_cell_angle_gamma 90.00
_symmetry_space_group_name_H-M 'I -4 m 2'
_symmetry_Int_Tables_number 119
_symmetry_space_group_name_Hall 'I -4 -2'
loop_
_atom_site_label
_atom_site_type_symbol
_atom_site_fract_x
_atom_site_fract_y
_atom_site_fract_z
Be1 Be 0.000 0.000 0.000
In1 In 0.000 0.000 0.500
In2 In 0.000 0.500 0.250
Cu1 Cu 0.000 0.500 0.750
```

Summary:
E_tot   -2.9203 eV per atom

***

(3)
First-principles (PBE) data for LaPm2Sm4Er after structural relaxation, as listed in Alexandria.

Geometry as CIF:
```
data_LaPm2Sm4Er
_chemical_formula_sum 'La1 Pm2 Sm4 Er1'
_cell_length_a 6.265
_cell_length_b 3.645
_cell_length_c 12.086
_cell_angle_alpha 90.00
_cell_angle_beta 100.25
_cell_angle_gamma 90.00
_symmetry_space_group_name_H-M 'P 1 2/m 1'
_symmetry_Int_Tables_number 10
_symmetry_space_group_name_Hall '-P 2y'
loop_
_atom_site_label
_atom_site_type_symbol
_atom_site_fract_x
_atom_site_fract_y
_atom_site_fract_z
La1 La 0.000 0.000 0.000
Pm1 Pm 0.000 0.500 0.500
Pm2 Pm 0.500 0.000 0.500
Sm1 Sm 0.250 0.000 0.751
Sm2 Sm 0.252 0.500 0.251
Er1 Er 0.500 0.500 0.000
```

Summary:
E_tot   -4.7150 eV per atom

***

(4)
First-principles (PBE) data for LiPu3Se6 after structural relaxation, as listed in Alexandria.

Geometry as CIF:
```
data_LiPu3Se6
_chemical_formula_sum 'Li4 Pu12 Se24'
_cell_length_a 11.057
_cell_length_b 13.498
_cell_length_c 6.893
_cell_angle_alpha 90.00
_cell_angle_beta 90.00
_cell_angle_gamma 90.00
_symmetry_space_group_name_H-M 'C m c 21'
_symmetry_Int_Tables_number 36
_symmetry_space_group_name_Hall 'C 2c -2'
loop_
_atom_site_label
_atom_site_type_symbol
_atom_site_fract_x
_atom_site_fract_y
_atom_site_fract_z
Li1 Li 0.000 0.187 0.000
Pu1 Pu 0.000 0.395 0.369
Pu2 Pu 0.180 0.103 0.468
Se1 Se 0.000 0.021 0.203
Se2 Se 0.000 0.230 0.632
Se3 Se 0.162 0.466 0.667
Se4 Se 0.175 0.268 0.193
```

Summary:
Energy relative to the elements, uncorrected   -1298 meV/atom

***

Number 1: total magnetization 0.00 μB per atom. Number 2: total magnetization 0.00 μB per atom. Number 3: total magnetization 0.00 μB per atom. Number 4: total magnetization 1.30 μB per atom.